No. 1
Material: Tl3SbTe
Method: DFT, PBE
State: optimized geometry

CIF file:
```
data_Tl3SbTe
_symmetry_space_group_name_H-M 'P 1 21/m 1'
_symmetry_Int_Tables_number 11
_cell_length_a 8.701
_cell_length_b 4.505
_cell_length_c 9.577
_cell_angle_alpha 90.00
_cell_angle_beta 102.85
_cell_angle_gamma 90.00
loop_
_symmetry_equiv_pos_as_xyz
'x,y,z'
'-x,-y,-z'
'-x,y+1/2,-z'
'x,-y+1/2,z'
loop_
_atom_site_label
_atom_site_type_symbol
_atom_site_fract_x
_atom_site_fract_y
_atom_site_fract_z
_atom_site_occupancy
Tl1 Tl 0.056 0.250 0.175 1
Tl2 Tl 0.211 0.750 0.599 1
Tl3 Tl 0.403 0.750 0.137 1
Sb1 Sb 0.423 0.250 0.412 1
Te1 Te 0.232 0.250 0.885 1
```

uncorrected formation energy: -0.70 eV/f.u.
polymorph energy (0 for the lowest one): 0 meV/atom

No. 2
Material: Tl3Sb2Te4
Method: DFT, PBE
State: optimized geometry

CIF file:
```
data_Tl3Sb2Te4
_symmetry_space_group_name_H-M 'C 1 2/c 1'
_symmetry_Int_Tables_number 15
_cell_length_a 15.417
_cell_length_b 13.337
_cell_length_c 6.593
_cell_angle_alpha 90.00
_cell_angle_beta 92.98
_cell_angle_gamma 90.00
loop_
_symmetry_equiv_pos_as_xyz
'x,y,z'
'-x,-y,-z'
'-x,y,-z+1/2'
'x,-y,z+1/2'
'x+1/2,y+1/2,z'
'-x+1/2,-y+1/2,-z'
'-x+1/2,y+1/2,-z+1/2'
'x+1/2,-y+1/2,z+1/2'
loop_
_atom_site_label
_atom_site_type_symbol
_atom_site_fract_x
_atom_site_fract_y
_atom_site_fract_z
_atom_site_occupancy
Tl1 Tl 0.000 0.173 0.250 1
Tl2 Tl 0.102 0.392 0.978 1
Sb1 Sb 0.183 0.106 0.521 1
Te1 Te 0.134 0.355 0.488 1
Te2 Te 0.180 0.111 0.999 1
```

uncorrected formation energy: -1.25 eV/f.u.
polymorph energy (0 for the lowest one): 0 meV/atom

No. 3
Material: Tl2SbTe
Method: DFT, PBE
State: optimized geometry

CIF file:
```
data_Tl2SbTe
_symmetry_space_group_name_H-M 'R -3 m'
_symmetry_Int_Tables_number 166
_symmetry_space_group_name_Hall '-R 3 2"'
_cell_length_a 3.4095
_cell_length_b 3.4095
_cell_length_c 37.3678
_cell_angle_alpha 90.00
_cell_angle_beta 90.00
_cell_angle_gamma 120.00
loop_
_atom_site_label
_atom_site_type_symbol
_atom_site_fract_x
_atom_site_fract_y
_atom_site_fract_z
_atom_site_occupancy
Tl1 Tl 0.0000 0.0000 0.2426 1
Sb1 Sb 0.0000 0.0000 0.5000 1
Te1 Te 0.0000 0.0000 0.0000 1
```

uncorrected formation energy: 0.36 eV/f.u.
polymorph energy (0 for the lowest one): 135 meV/atom

No. 4
Material: Tl4SbTe
Method: DFT, PBE
State: optimized geometry

CIF file:
```
data_Tl4SbTe
_symmetry_space_group_name_H-M 'C 1 2/c 1'
_symmetry_Int_Tables_number 15
_cell_length_a 9.690
_cell_length_b 13.371
_cell_length_c 8.030
_cell_angle_alpha 90.00
_cell_angle_beta 122.53
_cell_angle_gamma 90.00
loop_
_symmetry_equiv_pos_as_xyz
'x,y,z'
'-x,-y,-z'
'-x,y,-z+1/2'
'x,-y,z+1/2'
'x+1/2,y+1/2,z'
'-x+1/2,-y+1/2,-z'
'-x+1/2,y+1/2,-z+1/2'
'x+1/2,-y+1/2,z+1/2'
loop_
_atom_site_label
_atom_site_type_symbol
_atom_site_fract_x
_atom_site_fract_y
_atom_site_fract_z
_atom_site_occupancy
Tl1 Tl 0.189 0.072 0.037 1
Tl2 Tl 0.196 0.326 0.269 1
Sb1 Sb 0.000 0.125 0.250 1
Te1 Te 0.000 0.267 0.750 1
```

uncorrected formation energy: -0.42 eV/f.u.
polymorph energy (0 for the lowest one): 0 meV/atom

No. 5
Material: Tl4SbTe
Method: DFT, PBE
State: optimized geometry

CIF file:
```
data_Tl4SbTe
_symmetry_space_group_name_H-M 'F -4 3 m'
_symmetry_Int_Tables_number 216
_symmetry_space_group_name_Hall 'F -4 2 3'
_cell_length_a 9.185
_cell_length_b 9.185
_cell_length_c 9.185
_cell_angle_alpha 90.00
_cell_angle_beta 90.00
_cell_angle_gamma 90.00
loop_
_atom_site_label
_atom_site_type_symbol
_atom_site_fract_x
_atom_site_fract_y
_atom_site_fract_z
_atom_site_occupancy
Tl1 Tl 0.125 0.125 0.125 1
Sb1 Sb 0.250 0.250 0.750 1
Te1 Te 0.000 0.000 0.500 1
```

uncorrected formation energy: 0.90 eV/f.u.
polymorph energy (0 for the lowest one): 220 meV/atom

No. 6
Material: TlSb2Te
Method: DFT, PBE
State: optimized geometry

CIF file:
```
data_TlSb2Te
_symmetry_space_group_name_H-M 'I m m m'
_symmetry_Int_Tables_number 71
_symmetry_space_group_name_Hall '-I 2 2'
_cell_length_a 3.871
_cell_length_b 5.676
_cell_length_c 10.895
_cell_angle_alpha 90.00
_cell_angle_beta 90.00
_cell_angle_gamma 90.00
loop_
_atom_site_label
_atom_site_type_symbol
_atom_site_fract_x
_atom_site_fract_y
_atom_site_fract_z
_atom_site_occupancy
Tl1 Tl 0.000 0.000 0.000 1
Sb1 Sb 0.000 0.500 0.223 1
Te1 Te 0.000 0.000 0.500 1
```

uncorrected formation energy: 0.34 eV/f.u.
polymorph energy (0 for the lowest one): 104 meV/atom

No. 7
Material: Tl9SbTe6
Method: DFT, PBE
State: optimized geometry

CIF file:
```
data_Tl9SbTe6
_symmetry_space_group_name_H-M 'I 4'
_symmetry_Int_Tables_number 79
_cell_length_a 8.944
_cell_length_b 8.944
_cell_length_c 13.619
_cell_angle_alpha 90.00
_cell_angle_beta 90.00
_cell_angle_gamma 90.00
loop_
_symmetry_equiv_pos_as_xyz
'x,y,z'
'-y,x,z'
'-x,-y,z'
'y,-x,z'
'x+1/2,y+1/2,z+1/2'
'-y+1/2,x+1/2,z+1/2'
'-x+1/2,-y+1/2,z+1/2'
'y+1/2,-x+1/2,z+1/2'
loop_
_atom_site_label
_atom_site_type_symbol
_atom_site_fract_x
_atom_site_fract_y
_atom_site_fract_z
_atom_site_occupancy
Tl1 Tl 0.000 0.000 0.000 1
Tl2 Tl 0.141 0.655 0.336 1
Tl3 Tl 0.143 0.352 0.149 1
Sb1 Sb 0.000 0.000 0.505 1
Te1 Te 0.000 0.000 0.248 1
Te2 Te 0.000 0.000 0.721 1
Te3 Te 0.150 0.322 0.493 1
```

uncorrected formation energy: -4.55 eV/f.u.
polymorph energy (0 for the lowest one): 0 meV/atom

No. 8
Material: TlSb2Te
Method: DFT, PBE
State: optimized geometry

CIF file:
```
data_TlSb2Te
_symmetry_space_group_name_H-M 'R -3 m'
_symmetry_Int_Tables_number 166
_symmetry_space_group_name_Hall '-R 3 2"'
_cell_length_a 4.4065
_cell_length_b 4.4065
_cell_length_c 22.2151
_cell_angle_alpha 90.00
_cell_angle_beta 90.00
_cell_angle_gamma 120.00
loop_
_atom_site_label
_atom_site_type_symbol
_atom_site_fract_x
_atom_site_fract_y
_atom_site_fract_z
_atom_site_occupancy
Tl1 Tl 0.0000 0.0000 0.0000 1
Sb1 Sb 0.0000 0.0000 0.2499 1
Te1 Te 0.0000 0.0000 0.5000 1
```

uncorrected formation energy: 0.49 eV/f.u.
polymorph energy (0 for the lowest one): 141 meV/atom

No. 9
Material: Tl2SbTe
Method: DFT, PBE
State: optimized geometry

CIF file:
```
data_Tl2SbTe
_symmetry_space_group_name_H-M 'I m m 2'
_symmetry_Int_Tables_number 44
_cell_length_a 3.951
_cell_length_b 5.726
_cell_length_c 11.335
_cell_angle_alpha 90.00
_cell_angle_beta 90.00
_cell_angle_gamma 90.00
loop_
_symmetry_equiv_pos_as_xyz
'x,y,z'
'-x,-y,z'
'-x,y,z'
'x,-y,z'
'x+1/2,y+1/2,z+1/2'
'-x+1/2,-y+1/2,z+1/2'
'-x+1/2,y+1/2,z+1/2'
'x+1/2,-y+1/2,z+1/2'
loop_
_atom_site_label
_atom_site_type_symbol
_atom_site_fract_x
_atom_site_fract_y
_atom_site_fract_z
_atom_site_occupancy
Tl1 Tl 0.000 0.000 0.000 1
Tl2 Tl 0.000 0.500 0.225 1
Sb1 Sb 0.000 0.500 0.768 1
Te1 Te 0.000 0.000 0.468 1
```

uncorrected formation energy: -0.12 eV/f.u.
polymorph energy (0 for the lowest one): 15 meV/atom

No. 10
Material: TlSb3Te
Method: DFT, PBE
State: optimized geometry

CIF file:
```
data_TlSb3Te
_symmetry_space_group_name_H-M 'P m -3 m'
_symmetry_Int_Tables_number 221
_symmetry_space_group_name_Hall '-P 4 2 3'
_cell_length_a 5.808
_cell_length_b 5.808
_cell_length_c 5.808
_cell_angle_alpha 90.00
_cell_angle_beta 90.00
_cell_angle_gamma 90.00
loop_
_atom_site_label
_atom_site_type_symbol
_atom_site_fract_x
_atom_site_fract_y
_atom_site_fract_z
_atom_site_occupancy
Tl1 Tl 0.000 0.000 0.000 1
Sb1 Sb 0.000 0.500 0.500 1
Te1 Te 0.500 0.500 0.500 1
```

uncorrected formation energy: 3.21 eV/f.u.

No. 11
Material: TlSb2Te
Method: DFT, PBE
State: optimized geometry

CIF file:
```
data_TlSb2Te
_symmetry_space_group_name_H-M 'C m m m'
_symmetry_Int_Tables_number 65
_symmetry_space_group_name_Hall '-C 2 2'
_cell_length_a 4.041
_cell_length_b 5.555
_cell_length_c 10.277
_cell_angle_alpha 90.00
_cell_angle_beta 90.00
_cell_angle_gamma 90.00
loop_
_atom_site_label
_atom_site_type_symbol
_atom_site_fract_x
_atom_site_fract_y
_atom_site_fract_z
_atom_site_occupancy
Tl1 Tl 0.000 0.000 0.000 1
Sb1 Sb 0.000 0.500 0.261 1
Te1 Te 0.000 0.000 0.500 1
```

uncorrected formation energy: 0.86 eV/f.u.
polymorph energy (0 for the lowest one): 233 meV/atom

No. 12
Material: Tl2SbTe
Method: DFT, PBE
State: optimized geometry

CIF file:
```
data_Tl2SbTe
_symmetry_space_group_name_H-M 'I m m m'
_symmetry_Int_Tables_number 71
_symmetry_space_group_name_Hall '-I 2 2'
_cell_length_a 4.760
_cell_length_b 4.763
_cell_length_c 10.964
_cell_angle_alpha 90.00
_cell_angle_beta 90.00
_cell_angle_gamma 90.00
loop_
_atom_site_label
_atom_site_type_symbol
_atom_site_fract_x
_atom_site_fract_y
_atom_site_fract_z
_atom_site_occupancy
Tl1 Tl 0.000 0.000 0.249 1
Sb1 Sb 0.000 0.500 0.000 1
Te1 Te 0.000 0.500 0.500 1
```

uncorrected formation energy: -0.13 eV/f.u.
polymorph energy (0 for the lowest one): 14 meV/atom

No. 13
Material: Tl8Sb2Te
Method: DFT, PBE
State: optimized geometry

CIF file:
```
data_Tl8Sb2Te
_symmetry_space_group_name_H-M 'P 1'
_symmetry_Int_Tables_number 1
_cell_length_a 6.446
_cell_length_b 7.807
_cell_length_c 8.885
_cell_angle_alpha 110.94
_cell_angle_beta 109.73
_cell_angle_gamma 98.12
loop_
_symmetry_equiv_pos_as_xyz
'x,y,z'
loop_
_atom_site_label
_atom_site_type_symbol
_atom_site_fract_x
_atom_site_fract_y
_atom_site_fract_z
_atom_site_occupancy
Tl1 Tl 0.000 0.000 0.000 1
Tl2 Tl 0.005 0.590 0.665 1
Tl3 Tl 0.017 0.709 0.220 1
Tl4 Tl 0.294 0.267 0.444 1
Tl5 Tl 0.321 0.417 0.036 1
Tl6 Tl 0.526 0.775 0.542 1
Tl7 Tl 0.583 0.955 0.242 1
Tl8 Tl 0.673 0.240 0.815 1
Sb1 Sb 0.557 0.637 0.852 1
Sb2 Sb 0.794 0.335 0.235 1
Te1 Te 0.091 0.008 0.628 1
```

uncorrected formation energy: -0.64 eV/f.u.

No. 14
Material: Tl2SbTe2
Method: DFT, PBE
State: optimized geometry

CIF file:
```
data_Tl2SbTe2
_symmetry_space_group_name_H-M 'P 1 21/c 1'
_symmetry_Int_Tables_number 14
_cell_length_a 10.651
_cell_length_b 8.881
_cell_length_c 8.216
_cell_angle_alpha 90.00
_cell_angle_beta 93.41
_cell_angle_gamma 90.00
loop_
_symmetry_equiv_pos_as_xyz
'x,y,z'
'-x,-y,-z'
'-x,y+1/2,-z+1/2'
'x,-y+1/2,z+1/2'
loop_
_atom_site_label
_atom_site_type_symbol
_atom_site_fract_x
_atom_site_fract_y
_atom_site_fract_z
_atom_site_occupancy
Tl1 Tl 0.060 0.228 0.013 1
Tl2 Tl 0.332 0.713 0.504 1
Sb1 Sb 0.336 0.139 0.398 1
Te1 Te 0.132 0.564 0.770 1
Te2 Te 0.431 0.051 0.722 1
```

uncorrected formation energy: -0.60 eV/f.u.
polymorph energy (0 for the lowest one): 0 meV/atom

No. 15
Material: Tl2SbTe
Method: DFT, PBE
State: optimized geometry

CIF file:
```
data_Tl2SbTe
_symmetry_space_group_name_H-M 'C 1 2/m 1'
_symmetry_Int_Tables_number 12
_cell_length_a 6.599
_cell_length_b 11.493
_cell_length_c 3.287
_cell_angle_alpha 90.00
_cell_angle_beta 90.08
_cell_angle_gamma 90.00
loop_
_symmetry_equiv_pos_as_xyz
'x,y,z'
'-x,-y,-z'
'-x,y,-z'
'x,-y,z'
'x+1/2,y+1/2,z'
'-x+1/2,-y+1/2,-z'
'-x+1/2,y+1/2,-z'
'x+1/2,-y+1/2,z'
loop_
_atom_site_label
_atom_site_type_symbol
_atom_site_fract_x
_atom_site_fract_y
_atom_site_fract_z
_atom_site_occupancy
Tl1 Tl 0.250 0.250 0.000 1
Sb1 Sb 0.000 0.000 0.500 1
Te1 Te 0.000 0.500 0.500 1
```

uncorrected formation energy: -0.14 eV/f.u.
polymorph energy (0 for the lowest one): 11 meV/atom

No. 16
Material: Tl3Sb2Te4
Method: DFT, PBE
State: optimized geometry

CIF file:
```
data_Tl3Sb2Te4
_symmetry_space_group_name_H-M 'C 1 2/c 1'
_symmetry_Int_Tables_number 15
_cell_length_a 16.600
_cell_length_b 6.731
_cell_length_c 11.709
_cell_angle_alpha 90.00
_cell_angle_beta 95.79
_cell_angle_gamma 90.00
loop_
_symmetry_equiv_pos_as_xyz
'x,y,z'
'-x,-y,-z'
'-x,y,-z+1/2'
'x,-y,z+1/2'
'x+1/2,y+1/2,z'
'-x+1/2,-y+1/2,-z'
'-x+1/2,y+1/2,-z+1/2'
'x+1/2,-y+1/2,z+1/2'
loop_
_atom_site_label
_atom_site_type_symbol
_atom_site_fract_x
_atom_site_fract_y
_atom_site_fract_z
_atom_site_occupancy
Tl1 Tl 0.000 0.029 0.250 1
Tl2 Tl 0.113 0.421 0.736 1
Sb1 Sb 0.201 0.081 0.038 1
Te1 Te 0.049 0.284 0.017 1
Te2 Te 0.199 0.139 0.330 1
```

uncorrected formation energy: -1.21 eV/f.u.
polymorph energy (0 for the lowest one): 4 meV/atom

No. 17
Material: Tl9SbTe6
Method: DFT, PBE
State: optimized geometry

CIF file:
```
data_Tl9SbTe6
_symmetry_space_group_name_H-M 'P 4/m'
_symmetry_Int_Tables_number 83
_cell_length_a 8.933
_cell_length_b 8.933
_cell_length_c 40.891
_cell_angle_alpha 90.00
_cell_angle_beta 90.00
_cell_angle_gamma 90.00
loop_
_symmetry_equiv_pos_as_xyz
'x,y,z'
'-x,-y,-z'
'-y,x,z'
'y,-x,-z'
'-x,-y,z'
'x,y,-z'
'y,-x,z'
'-y,x,-z'
loop_
_atom_site_label
_atom_site_type_symbol
_atom_site_fract_x
_atom_site_fract_y
_atom_site_fract_z
_atom_site_occupancy
Tl1 Tl 0.000 0.000 0.000 1
Tl2 Tl 0.000 0.000 0.165 1
Tl3 Tl 0.000 0.000 0.500 1
Tl4 Tl 0.136 0.341 0.386 1
Tl5 Tl 0.137 0.653 0.218 1
Tl6 Tl 0.141 0.349 0.052 1
Tl7 Tl 0.149 0.358 0.281 1
Tl8 Tl 0.150 0.642 0.448 1
Tl9 Tl 0.152 0.647 0.113 1
Tl10 Tl 0.500 0.500 0.341 1
Sb1 Sb 0.000 0.000 0.330 1
Sb2 Sb 0.500 0.500 0.000 1
Sb3 Sb 0.500 0.500 0.172 1
Sb4 Sb 0.500 0.500 0.500 1
Te1 Te 0.000 0.000 0.085 1
Te2 Te 0.000 0.000 0.257 1
Te3 Te 0.000 0.000 0.413 1
Te4 Te 0.150 0.678 0.333 1
Te5 Te 0.179 0.350 0.500 1
Te6 Te 0.179 0.351 0.167 1
Te7 Te 0.179 0.651 0.000 1
Te8 Te 0.500 0.500 0.078 1
Te9 Te 0.500 0.500 0.242 1
Te10 Te 0.500 0.500 0.423 1
```

uncorrected formation energy: -4.51 eV/f.u.
polymorph energy (0 for the lowest one): 2 meV/atom

No. 18
Material: Tl2SbTe2
Method: DFT, PBE
State: optimized geometry

CIF file:
```
data_Tl2SbTe2
_symmetry_space_group_name_H-M 'P 4/m b m'
_symmetry_Int_Tables_number 127
_symmetry_space_group_name_Hall '-P 4 2ab'
_cell_length_a 8.422
_cell_length_b 8.422
_cell_length_c 4.894
_cell_angle_alpha 90.00
_cell_angle_beta 90.00
_cell_angle_gamma 90.00
loop_
_atom_site_label
_atom_site_type_symbol
_atom_site_fract_x
_atom_site_fract_y
_atom_site_fract_z
_atom_site_occupancy
Tl1 Tl 0.141 0.359 0.000 1
Sb1 Sb 0.000 0.000 0.500 1
Te1 Te 0.174 0.674 0.500 1
```

uncorrected formation energy: -0.44 eV/f.u.
polymorph energy (0 for the lowest one): 32 meV/atom

No. 19
Material: TlSb2Te
Method: DFT, PBE
State: optimized geometry

CIF file:
```
data_TlSb2Te
_symmetry_space_group_name_H-M 'P 4/m m m'
_symmetry_Int_Tables_number 123
_symmetry_space_group_name_Hall '-P 4 2'
_cell_length_a 3.164
_cell_length_b 3.164
_cell_length_c 11.857
_cell_angle_alpha 90.00
_cell_angle_beta 90.00
_cell_angle_gamma 90.00
loop_
_atom_site_label
_atom_site_type_symbol
_atom_site_fract_x
_atom_site_fract_y
_atom_site_fract_z
_atom_site_occupancy
Tl1 Tl 0.000 0.000 0.000 1
Sb1 Sb 0.500 0.500 0.244 1
Te1 Te 0.000 0.000 0.500 1
```

uncorrected formation energy: 0.88 eV/f.u.
polymorph energy (0 for the lowest one): 237 meV/atom